No. 1
MgCuOs2 PBE optimized geometry; electronic total energy = -6.73 eV per atom; density of states at the Fermi level = 3.8 states/eV/f.u.; DFT formation energy = 303 meV/atom
1.0
-5.048 5.773 -4.719
-6.641 5.542 -2.504
-4.573 7.336 -2.522
Os Cu Mg
2 1 1
Direct
0.997 0.997 0.997 Os
0.503 0.503 0.503 Os
0.250 0.250 0.250 Cu
0.750 0.750 0.750 Mg



No. 2
Mg2CuOs PBE optimized geometry; energy above the lowest structure with this stoichiometry = 474.8 meV/atom; electronic total energy = -4.04 eV per atom; density of states at the Fermi level = 3.6 states/eV/f.u.; DFT formation energy = 594 meV/atom
1.0
7.005 0.000 0.000
0.000 7.005 0.000
3.502 3.502 2.671
Cu Os Mg
2 2 4
Direct
0.500 0.500 0.000 Cu
0.250 0.750 0.500 Cu
0.750 0.250 0.500 Os
0.000 0.000 0.000 Os
0.375 0.397 0.750 Mg
0.603 0.125 0.250 Mg
0.147 0.625 0.250 Mg
0.875 0.853 0.750 Mg



No. 3
MgCu2OsPt PBE optimized geometry; electronic total energy = -3.97 eV per atom; density of states at the Fermi level = 3.3 states/eV/f.u.; DFT formation energy = 1441 meV/atom
1.0
4.295 0.000 0.000
0.000 4.526 0.000
0.000 0.000 4.295
Os Cu Mg Pt
1 2 1 1
Direct
0.500 0.500 0.500 Os
0.000 0.000 0.500 Cu
0.500 0.000 0.000 Cu
0.000 0.000 0.000 Mg
0.000 0.500 0.000 Pt



Copy entry 3 word for word.
MgCu2OsPt PBE optimized geometry; electronic total energy = -3.97 eV per atom; density of states at the Fermi level = 3.3 states/eV/f.u.; DFT formation energy = 1441 meV/atom
1.0
4.295 0.000 0.000
0.000 4.526 0.000
0.000 0.000 4.295
Os Cu Mg Pt
1 2 1 1
Direct
0.500 0.500 0.500 Os
0.000 0.000 0.500 Cu
0.500 0.000 0.000 Cu
0.000 0.000 0.000 Mg
0.000 0.500 0.000 Pt



- Among the records above, which one has the highest density of states at the Fermi level?
  MgCuOs2



Copy entry 2 word for word.
Mg2CuOs PBE optimized geometry; energy above the lowest structure with this stoichiometry = 474.8 meV/atom; electronic total energy = -4.04 eV per atom; density of states at the Fermi level = 3.6 states/eV/f.u.; DFT formation energy = 594 meV/atom
1.0
7.005 0.000 0.000
0.000 7.005 0.000
3.502 3.502 2.671
Cu Os Mg
2 2 4
Direct
0.500 0.500 0.000 Cu
0.250 0.750 0.500 Cu
0.750 0.250 0.500 Os
0.000 0.000 0.000 Os
0.375 0.397 0.750 Mg
0.603 0.125 0.250 Mg
0.147 0.625 0.250 Mg
0.875 0.853 0.750 Mg



Repeat the third record exactly.
MgCu2OsPt PBE optimized geometry; electronic total energy = -3.97 eV per atom; density of states at the Fermi level = 3.3 states/eV/f.u.; DFT formation energy = 1441 meV/atom
1.0
4.295 0.000 0.000
0.000 4.526 0.000
0.000 0.000 4.295
Os Cu Mg Pt
1 2 1 1
Direct
0.500 0.500 0.500 Os
0.000 0.000 0.500 Cu
0.500 0.000 0.000 Cu
0.000 0.000 0.000 Mg
0.000 0.500 0.000 Pt